Below is a relaxed structure of ZnCo2Sb, with properties calculated at the PBE level.

## Properties
Space-group type ... R-3m (166)
Raw formation energy ... 0.30 eV/atom
Electronic total energy ... -4.602 eV per atom
Distance to the lowest polymorph of the same formula ... 289.1 meV per atom

abc: 7.5983 7.5983 7.5983
angles: 23.21 23.21 23.21
Each line ends with the local moment (μB).
Fractional positions:
1 Co 0.0012 0.0012 0.0012  0.70
2 Co 0.4988 0.4988 0.4988  0.70
3 Sb 0.2500 0.2500 0.2500  -0.03
4 Zn 0.7500 0.7500 0.7500  -0.03